(1)
Density functional theory data (GGA-PBE) for a relaxed NbI3Cl2 crystal.

Results
- Raw formation energy: -0.731 eV/atom
- Symmetry: No. 15

abc: 7.8786 7.8786 12.7148
angles: 54.58 54.58 76.61
Last column: nearest neighbours and their distance in Å.
Fractional positions:
I  0.2734  0.1041  0.5611  2 Nb 2.93-3.00
I  0.6196  0.3804  0.7500  1 Nb 2.76
I  0.7266  0.8959  0.4389  2 Nb 2.93-3.00
I  0.3804  0.6196  0.2500  1 Nb 2.76
I  0.1041  0.2734  0.0611  2 Nb 2.93-3.00
I  0.8959  0.7266  0.9389  2 Nb 2.93-3.00
Cl  0.2016  0.5793  0.6613  1 Nb 2.33
Cl  0.7984  0.4207  0.3387  1 Nb 2.33
Cl  0.5793  0.2016  0.1613  1 Nb 2.33
Cl  0.4207  0.7984  0.8387  1 Nb 2.33
Nb  0.6630  0.3370  0.2500  2 Cl 2.33
Nb  0.3370  0.6630  0.7500  2 Cl 2.33

=====

(2)
Density functional theory data (GGA-PBE) for a relaxed Nb3ICl crystal.

Results
- Raw formation energy: 0.904 eV/atom
- Excess energy over the best structure of this formula in the dataset: 0.0 meV/atom
- Symmetry: No. 221

abc: 4.6826 4.6826 4.6826
angles: 90.00 90.00 90.00
Last column: nearest neighbours and their distance in Å.
Fractional positions:
Nb  0.5000  0.0000  0.0000  2 Cl 2.34
Nb  0.0000  0.5000  0.0000  2 Cl 2.34
Nb  0.0000  0.0000  0.5000  2 Cl 2.34
I  0.5000  0.5000  0.5000  12 Nb 3.31
Cl  0.0000  0.0000  0.0000  6 Nb 2.34

=====

(3)
Density functional theory data (GGA-PBE) for a relaxed NbI6Cl2 crystal.

Results
- Raw formation energy: -0.259 eV/atom
- Symmetry: No. 14

abc: 7.0074 10.6017 11.9296
angles: 90.00 92.30 90.00
Last column: nearest neighbours and their distance in Å.
Fractional positions:
I  0.2651  0.3166  0.0750  1 Nb 2.72
I  0.2352  0.1792  0.4181  1 Nb 2.72
I  0.7170  0.4949  0.2128  2 Cl 2.69-2.70, 1 Nb 2.91
I  0.7651  0.1834  0.5750  1 Nb 2.72
I  0.2170  0.0051  0.7128  2 Cl 2.69-2.70, 1 Nb 2.91
I  0.2648  0.6792  0.0819  1 Nb 2.72
I  0.2349  0.8166  0.4250  1 Nb 2.72
I  0.2830  0.5051  0.7872  2 Cl 2.69-2.70, 1 Nb 2.91
I  0.7648  0.8208  0.5819  1 Nb 2.72
I  0.7830  0.9949  0.2872  2 Cl 2.69-2.70, 1 Nb 2.91
I  0.7349  0.6834  0.9250  1 Nb 2.72
I  0.7352  0.3208  0.9181  1 Nb 2.72
Nb  0.5000  0.5000  0.0000  6 I 2.72-2.91
Nb  0.0000  0.0000  0.5000  6 I 2.72-2.91
Cl  0.7503  0.7440  0.2540  2 I 2.69-2.70
Cl  0.7497  0.2440  0.2460  2 I 2.69-2.70
Cl  0.2503  0.7560  0.7540  2 I 2.69-2.70
Cl  0.2497  0.2560  0.7460  2 I 2.69-2.70

=====

(4)
Density functional theory data (GGA-PBE) for a relaxed NbICl2 crystal.

Results
- Raw formation energy: -0.922 eV/atom
- Excess energy over the best structure of this formula in the dataset: 0.0 meV/atom
- Symmetry: No. 14

abc: 6.0750 6.7073 11.2872
angles: 90.00 86.28 90.00
Last column: nearest neighbours and their distance in Å.
Fractional positions:
Nb  0.6956  0.9979  0.4358  4 Cl 2.41-2.66
Nb  0.3044  0.0021  0.5642  4 Cl 2.41-2.66
Nb  0.8044  0.4979  0.0642  4 Cl 2.41-2.66
Nb  0.1956  0.5021  0.9358  4 Cl 2.41-2.66
Cl  0.5776  0.3080  0.9263  2 Nb 2.49-2.66
Cl  0.0871  0.2503  0.0847  2 Nb 2.41-2.44
Cl  0.4129  0.7503  0.4153  2 Nb 2.41-2.44
Cl  0.0776  0.1920  0.4263  2 Nb 2.49-2.66
Cl  0.9224  0.8080  0.5737  2 Nb 2.49-2.66
Cl  0.4224  0.6920  0.0737  2 Nb 2.49-2.66
Cl  0.9129  0.7497  0.9153  2 Nb 2.41-2.44
Cl  0.5871  0.2497  0.5847  2 Nb 2.41-2.44
I  0.0654  0.2361  0.7597  2 Nb 2.82-3.00
I  0.5654  0.2639  0.2597  2 Nb 2.82-3.00
I  0.9346  0.7639  0.2403  2 Nb 2.82-3.00
I  0.4346  0.7361  0.7403  2 Nb 2.82-3.00

=====

(5)
Density functional theory data (GGA-PBE) for a relaxed Nb2ICl8 crystal.

Results
- Raw formation energy: -1.094 eV/atom
- Symmetry: No. 12

abc: 7.2065 8.7117 7.2065
angles: 93.08 71.21 86.92
Last column: nearest neighbours and their distance in Å.
Fractional positions:
Nb  0.1294  0.2968  0.8706  4 Cl 2.29-2.41
Nb  0.8706  0.7032  0.1294  4 Cl 2.29-2.41
I  0.0000  0.0000  0.0000  2 Nb 2.90
Cl  0.7180  0.7066  0.8908  1 Nb 2.32
Cl  0.3955  0.2100  0.6045  1 Nb 2.29
Cl  0.8213  0.4345  0.1787  1 Nb 2.41
Cl  0.8908  0.2934  0.7180  1 Nb 2.32
Cl  0.2820  0.2934  0.1092  1 Nb 2.32
Cl  0.1092  0.7066  0.2820  1 Nb 2.32
Cl  0.1787  0.5655  0.8213  1 Nb 2.41
Cl  0.6045  0.7900  0.3955  1 Nb 2.29

=====

(6)
Density functional theory data (GGA-PBE) for a relaxed NbICl2 crystal.

Results
- Raw formation energy: -0.668 eV/atom
- Excess energy over the best structure of this formula in the dataset: 254.3 meV/atom
- Symmetry: No. 166

abc: 12.2294 12.2294 12.2294
angles: 15.40 15.40 15.40
Last column: nearest neighbours and their distance in Å.
Fractional positions:
Cl  0.8810  0.8810  0.8810  3 Nb 2.56
Cl  0.1190  0.1190  0.1190  3 Nb 2.56
I  0.0000  0.0000  0.0000  6 I 3.28
Nb  0.5000  0.5000  0.5000  6 Cl 2.56

=====

(7)
Density functional theory data (GGA-PBE) for a relaxed NbI4Cl crystal.

Results
- Raw formation energy: -0.308 eV/atom
- Excess energy over the best structure of this formula in the dataset: 0.0 meV/atom
- Symmetry: No. 12

abc: 7.5375 8.7474 9.2700
angles: 118.15 77.59 90.00
Last column: nearest neighbours and their distance in Å.
Fractional positions:
Cl  0.7665  0.7545  0.5090  1 I 2.58
Cl  0.2335  0.2455  0.4910  1 I 2.58
I  0.0000  0.2938  0.0000  2 Nb 2.95
I  0.5087  0.4002  0.2051  2 Nb 2.82-2.93
I  0.0000  0.7062  0.0000  2 Nb 2.95
I  0.1160  0.6956  0.3912  1 Cl 2.58, 1 Nb 2.84
I  0.8840  0.3044  0.6088  1 Cl 2.58, 1 Nb 2.84
I  0.4913  0.5998  0.7949  2 Nb 2.82-2.93
I  0.4913  0.1951  0.7949  2 Nb 2.82-2.93
I  0.5087  0.8049  0.2051  2 Nb 2.82-2.93
Nb  0.7055  0.4788  0.9577  7 I 2.82-2.95, 1 Nb 3.01
Nb  0.2945  0.5212  0.0423  7 I 2.82-2.95, 1 Nb 3.01

=====

(8)
Density functional theory data (GGA-PBE) for a relaxed Nb3ICl crystal.

Results
- Raw formation energy: 1.835 eV/atom
- Excess energy over the best structure of this formula in the dataset: 931.7 meV/atom
- Symmetry: No. 221

abc: 5.0997 5.0997 5.0997
angles: 90.00 90.00 90.00
Last column: nearest neighbours and their distance in Å.
Fractional positions:
Nb  0.0000  0.0000  0.5000  2 I 2.55
Nb  0.5000  0.0000  0.0000  2 I 2.55
Nb  0.0000  0.5000  0.0000  2 I 2.55
Cl  0.5000  0.5000  0.5000  12 Nb 3.61
I  0.0000  0.0000  0.0000  6 Nb 2.55

=====

(9)
Density functional theory data (GGA-PBE) for a relaxed Nb3ICl6 crystal.

Results
- Raw formation energy: -1.173 eV/atom
- Symmetry: No. 205

abc: 12.8946 12.8946 12.8946
angles: 90.00 90.00 90.00
Last column: nearest neighbours and their distance in Å.
Fractional positions:
I  0.3698  0.8698  0.6302  3 Nb 3.27, 3 Cl 3.55
I  0.1301  0.1301  0.1301  3 Nb 3.27, 3 Cl 3.55
I  0.1301  0.3698  0.6302  3 Nb 3.27, 3 Cl 3.55
I  0.3698  0.6302  0.1301  3 Nb 3.27, 3 Cl 3.55
I  0.8698  0.8698  0.8698  3 Nb 3.27, 3 Cl 3.55
I  0.6302  0.3698  0.8698  3 Nb 3.27, 3 Cl 3.55
I  0.6302  0.1301  0.3698  3 Nb 3.27, 3 Cl 3.55
I  0.8698  0.6302  0.3698  3 Nb 3.27, 3 Cl 3.55
Nb  0.0426  0.1428  0.5591  4 Cl 2.46-2.48
Nb  0.6428  0.9409  0.9574  4 Cl 2.46-2.48
Nb  0.0591  0.4574  0.8572  4 Cl 2.46-2.48
Nb  0.4574  0.8572  0.0591  4 Cl 2.46-2.48
Nb  0.9574  0.6428  0.9409  4 Cl 2.46-2.48
Nb  0.3572  0.4409  0.5426  4 Cl 2.46-2.48
Nb  0.8572  0.0591  0.4574  4 Cl 2.46-2.48
Nb  0.9409  0.5426  0.1428  4 Cl 2.46-2.48
Nb  0.1428  0.9409  0.5426  4 Cl 2.46-2.48
Nb  0.3572  0.0591  0.0426  4 Cl 2.46-2.48
Nb  0.9574  0.8572  0.4409  4 Cl 2.46-2.48
Nb  0.5591  0.0426  0.1428  4 Cl 2.46-2.48
Nb  0.6428  0.5591  0.4574  4 Cl 2.46-2.48
Nb  0.8572  0.4409  0.9574  4 Cl 2.46-2.48
Nb  0.0591  0.0426  0.3572  4 Cl 2.46-2.48
Nb  0.9409  0.9574  0.6428  4 Cl 2.46-2.48
Nb  0.1428  0.5591  0.0426  4 Cl 2.46-2.48
Nb  0.5426  0.3572  0.4409  4 Cl 2.46-2.48
Nb  0.4574  0.6428  0.5591  4 Cl 2.46-2.48
Nb  0.5591  0.4574  0.6428  4 Cl 2.46-2.48
Nb  0.4409  0.5426  0.3572  4 Cl 2.46-2.48
Nb  0.5426  0.1428  0.9409  4 Cl 2.46-2.48
Nb  0.4409  0.9574  0.8572  4 Cl 2.46-2.48
Nb  0.0426  0.3572  0.0591  4 Cl 2.46-2.48
Cl  0.1181  0.7610  0.4795  2 Nb 2.47-2.48
Cl  0.5988  0.8793  0.7827  2 Nb 2.46-2.47
Cl  0.9012  0.3793  0.7827  2 Nb 2.46-2.47
Cl  0.8793  0.7173  0.0988  2 Nb 2.46-2.47
Cl  0.3793  0.7827  0.9012  2 Nb 2.46-2.47
Cl  0.9795  0.3819  0.2390  2 Nb 2.47-2.48
Cl  0.9012  0.1207  0.2827  2 Nb 2.46-2.47
Cl  0.4012  0.3793  0.7173  2 Nb 2.46-2.47
Cl  0.7610  0.4795  0.1181  2 Nb 2.47-2.48
Cl  0.0988  0.6207  0.2173  2 Nb 2.46-2.47
Cl  0.7390  0.5205  0.6181  2 Nb 2.47-2.48
Cl  0.1207  0.2827  0.9012  2 Nb 2.46-2.47
Cl  0.4012  0.1207  0.2173  2 Nb 2.46-2.47
Cl  0.0205  0.6181  0.7610  2 Nb 2.47-2.48
Cl  0.2827  0.9012  0.1207  2 Nb 2.46-2.47
Cl  0.6181  0.7390  0.5205  2 Nb 2.47-2.48
Cl  0.1207  0.2173  0.4012  2 Nb 2.46-2.47
Cl  0.7827  0.5988  0.8793  2 Nb 2.46-2.47
Cl  0.7827  0.9012  0.3793  2 Nb 2.46-2.47
Cl  0.2173  0.0988  0.6207  2 Nb 2.46-2.47
Cl  0.2390  0.9795  0.3819  2 Nb 2.47-2.48
Cl  0.5988  0.6207  0.2827  2 Nb 2.46-2.47
Cl  0.6181  0.7610  0.0205  2 Nb 2.47-2.48
Cl  0.8819  0.2610  0.0205  2 Nb 2.47-2.48
Cl  0.8793  0.7827  0.5988  2 Nb 2.46-2.47
Cl  0.2610  0.0205  0.8819  2 Nb 2.47-2.48
Cl  0.3793  0.7173  0.4012  2 Nb 2.46-2.47
Cl  0.6207  0.2173  0.0988  2 Nb 2.46-2.47
Cl  0.2610  0.4795  0.3819  2 Nb 2.47-2.48
Cl  0.3819  0.2610  0.4795  2 Nb 2.47-2.48
Cl  0.8819  0.2390  0.5205  2 Nb 2.47-2.48
Cl  0.2827  0.5988  0.6207  2 Nb 2.46-2.47
Cl  0.6207  0.2827  0.5988  2 Nb 2.46-2.47
Cl  0.1181  0.7390  0.9795  2 Nb 2.47-2.48
Cl  0.0205  0.8819  0.2610  2 Nb 2.47-2.48
Cl  0.9795  0.1181  0.7390  2 Nb 2.47-2.48
Cl  0.3819  0.2390  0.9795  2 Nb 2.47-2.48
Cl  0.2390  0.5205  0.8819  2 Nb 2.47-2.48
Cl  0.7173  0.0988  0.8793  2 Nb 2.46-2.47
Cl  0.4795  0.3819  0.2610  2 Nb 2.47-2.48
Cl  0.7390  0.9795  0.1181  2 Nb 2.47-2.48
Cl  0.0988  0.8793  0.7173  2 Nb 2.46-2.47
Cl  0.7610  0.0205  0.6181  2 Nb 2.47-2.48
Cl  0.7173  0.4012  0.3793  2 Nb 2.46-2.47
Cl  0.2173  0.4012  0.1207  2 Nb 2.46-2.47
Cl  0.4795  0.1181  0.7610  2 Nb 2.47-2.48
Cl  0.5205  0.8819  0.2390  2 Nb 2.47-2.48
Cl  0.5205  0.6181  0.7390  2 Nb 2.47-2.48

=====

(10)
Density functional theory data (GGA-PBE) for a relaxed NbICl crystal.

Results
- Raw formation energy: -0.434 eV/atom
- Excess energy over the best structure of this formula in the dataset: 264.6 meV/atom
- Symmetry: No. 12

abc: 5.1862 5.7011 7.1028
angles: 66.34 62.91 90.00
Last column: nearest neighbours and their distance in Å.
Fractional positions:
Nb  0.9859  0.9030  0.1764  3 Cl 2.51-2.72, 1 Nb 2.64
Nb  0.4334  0.7252  0.5322  3 Cl 2.51-2.72, 1 Nb 2.64
I  0.1007  0.4576  0.0671  3 Nb 2.93-3.02
I  0.3186  0.1705  0.6415  3 Nb 2.93-3.02
Cl  0.5479  0.9367  0.1094  3 Nb 2.51-2.72
Cl  0.8714  0.6914  0.5992  3 Nb 2.51-2.72

=====

Number 1: E -3.800 eV per atom, total magnetic moment 0.0 μB/cell. Number 2: E -5.817 eV per atom, total magnetic moment 0.0 μB/cell. Number 3: E -2.822 eV per atom, total magnetic moment 0.0 μB/cell. Number 4: E -4.750 eV per atom, total magnetic moment 0.0 μB/cell. Number 5: E -4.408 eV per atom, total magnetic moment 1.0 μB/cell. Number 6: E -4.496 eV per atom, total magnetic moment 0.0 μB/cell. Number 7: E -3.328 eV per atom, total magnetic moment 0.0 μB/cell. Number 8: E -4.886 eV per atom, total magnetic moment 0.0 μB/cell. Number 9: E -5.457 eV per atom, total magnetic moment 0.0 μB/cell. Number 10: E -4.923 eV per atom, total magnetic moment 2.0 μB/cell.